A plane-wave DFT calculation with PBE was carried out for a relaxed ZrTaSe2Br crystal.

a = 5.230 Å, b = 5.230 Å, c = 5.131 Å
α = 90.00°, β = 90.00°, γ = 90.00°
Each line ends with the local moment (μB).
Fractional coordinates of all 5 atoms:
1 Se 0.000 0.500 0.000  -0.06
2 Se 0.500 0.000 0.000  -0.06
3 Br 0.000 0.000 0.500  0.03
4 Zr 0.000 0.000 0.000  0.17
5 Ta 0.500 0.500 0.500  2.30

Output
Energy relative to the elements, uncorrected = 408.1 meV/atom
Crystal system = tetragonal
Calculated volume = 28.07 A^3/atom
VASP energy = -27.00 eV for the cell shown
Magnetic moment = 3.731 μB/f.u.
Offset from the most stable computed form = 0.226 eV/atom

=====

A plane-wave DFT calculation with PBE was carried out for a relaxed Ti2VRu2 crystal.

a = 7.163 Å, b = 7.163 Å, c = 3.037 Å
α = 90.00°, β = 90.00°, γ = 90.00°
Each line ends with the local moment (μB).
Fractional coordinates of all 10 atoms:
1 Ru 0.357 0.857 0.000  0.01
2 Ru 0.857 0.643 0.000  0.01
3 Ru 0.643 0.143 0.000  0.01
4 Ru 0.143 0.357 0.000  0.01
5 V 0.000 0.000 0.000  1.65
6 V 0.500 0.500 0.000  1.65
7 Ti 0.157 0.657 0.500  0.15
8 Ti 0.657 0.843 0.500  0.15
9 Ti 0.843 0.343 0.500  0.15
10 Ti 0.343 0.157 0.500  0.15

Output
Crystal system = tetragonal
Calculated volume = 15.58 A^3/atom
VASP energy = -88.43 eV for the cell shown
Magnetic moment = 2.337 μB/f.u.

=====

A plane-wave DFT calculation with PBE was carried out for a relaxed DySbPtAu crystal.

a = 4.925 Å, b = 4.925 Å, c = 4.925 Å
α = 60.00°, β = 60.00°, γ = 60.00°
Fractional coordinates of all 4 atoms:
1 Sb 0.500 0.500 0.500
2 Au 0.750 0.750 0.750
3 Pt 0.250 0.250 0.250
4 Dy 0.000 0.000 0.000

Output
Energy relative to the elements, uncorrected = -715.8 meV/atom
Crystal system = cubic
Calculated volume = 21.11 A^3/atom
VASP energy = -20.91 eV for the cell shown
Magnetic moment = 0.000 μB/f.u.

=====

A plane-wave DFT calculation with PBE was carried out for a relaxed SmZn4Bi crystal.

a = 5.594 Å, b = 5.594 Å, c = 5.594 Å
α = 60.00°, β = 60.00°, γ = 60.00°
Fractional coordinates of all 6 atoms:
1 Zn 0.624 0.624 0.127
2 Zn 0.624 0.127 0.624
3 Zn 0.624 0.624 0.624
4 Zn 0.127 0.624 0.624
5 Bi 0.000 0.000 0.000
6 Sm 0.250 0.250 0.250

Output
Crystal system = cubic
Calculated volume = 20.63 A^3/atom
VASP energy = -14.46 eV for the cell shown
Magnetic moment = 0.000 μB/f.u.

=====

Which formula does entry 4 have? SmZn4Bi

=====

Among the records above, which one has the lowest VASP energy? Ti2VRu2

=====

Which value of magnetic moment does entry 2 give? 2.337 μB/f.u.